! KCeZr2O6, relaxed, DFT PBE; values from VASP
&SYSTEM
  ibrav = 0, nat = 10, ntyp = 4
/
ATOMIC_SPECIES
K 39.10 K.upf
Ce 140.12 Ce.upf
Zr 91.22 Zr.upf
O 16.00 O.upf
CELL_PARAMETERS angstrom
0.000 4.180 4.180
4.180 0.000 4.180
4.180 4.180 0.000
ATOMIC_POSITIONS crystal
K 0.000 0.000 0.000
Ce 0.500 0.500 0.500
Zr 0.250 0.250 0.250
Zr 0.750 0.750 0.750
O 0.000 0.000 0.500
O 0.000 0.500 0.000
O 0.000 0.500 0.500
O 0.500 0.000 0.000
O 0.500 0.000 0.500
O 0.500 0.500 0.000
! Symmetry: Fm-3m (225)
! Magnetic moment: 1.000 μB/cell
! Formation energy (no corrections): -2941 meV per atom
! E_tot: -8.329 eV per atom
! V: 14.606 Å³/atom

---

! Nd2ZrCd, relaxed, DFT PBE; values from VASP
&SYSTEM
  ibrav = 0, nat = 4, ntyp = 3
/
ATOMIC_SPECIES
Nd 144.24 Nd.upf
Zr 91.22 Zr.upf
Cd 112.41 Cd.upf
CELL_PARAMETERS angstrom
1.653 0.954 12.081
-1.653 0.954 12.081
0.000 -1.909 12.081
ATOMIC_POSITIONS crystal
Nd 0.089 0.089 0.089
Nd 0.911 0.911 0.911
Zr 0.000 0.000 0.000
Cd 0.500 0.500 0.500
! Symmetry: R-3m (166)
! Energy of formation: 0.274 eV/atom
! Magnetic moment: 0.001 μB/cell
! E_tot: -4.476 eV per atom
! V: 28.594 Å³/atom

---

! SrZnOs2, relaxed, DFT PBE; values from VASP
&SYSTEM
  ibrav = 0, nat = 4, ntyp = 3
/
ATOMIC_SPECIES
Sr 87.62 Sr.upf
Zn 65.41 Zn.upf
Os 190.23 Os.upf
CELL_PARAMETERS angstrom
1.564 -2.338 0.000
1.564 2.338 0.000
0.000 0.000 9.354
ATOMIC_POSITIONS crystal
Sr 0.000 0.000 0.000
Zn 0.000 0.000 0.500
Os 0.500 0.500 0.278
Os 0.500 0.500 0.722
! Symmetry: Cmmm (65)
! Energy of formation: 0.869 eV/atom
! Magnetic moment: 0.000 μB/cell
! E_tot: -5.485 eV per atom
! V: 17.100 Å³/atom